1.
The following is a PBE-GGA calculation of Ag3Pt after structural relaxation, from Alexandria via LeMat-Bulk.

Geometry as POSCAR:
```
Ag3Pt
1.0
-1.7513 -0.9366 -2.0392
-0.0074 -1.2396 2.5624
-6.8586 6.2667 3.0119
Ag Pt
3 1
direct
0.0000 0.0000 0.9963 Ag
0.0000 0.0000 0.5037 Ag
0.3333 0.6667 0.2500 Ag
0.3333 0.6667 0.7500 Pt
```

## Properties
space-group type = P-6m2 (187)

2.
The following is a PBE-GGA calculation of Ag2Pt3 after structural relaxation, from Alexandria via LeMat-Bulk.

Geometry as POSCAR:
```
Ag2Pt3
1.0
-1.8579 1.9944 -0.6011
-0.0181 -1.2123 2.5142
7.6846 8.3953 4.1032
Ag Pt
2 3
direct
0.3333 0.6667 0.7994 Ag
0.6667 0.3333 0.2006 Ag
0.0000 0.0000 0.0000 Pt
0.3333 0.6667 0.4004 Pt
0.6667 0.3333 0.5996 Pt
```

## Properties
energy above the most stable polymorph in this dataset = 38 meV per atom
space-group type = P-3m1 (164)

3.
The following is a PBE-GGA calculation of Ag3Pt after structural relaxation, from Alexandria via LeMat-Bulk.

Geometry as POSCAR:
```
Ag3Pt
1.0
-9.4252 -1.1553 1.7933
5.5045 -3.9879 -6.8690
0.6021 -2.1896 1.7537
Ag Pt
9 3
direct
0.0036 0.0028 0.0000 Ag
0.6666 0.8311 0.5000 Ag
0.3362 0.6703 0.0000 Ag
0.0042 0.5085 0.5000 Ag
0.6601 0.3268 0.0000 Ag
0.4975 0.4911 0.0000 Ag
0.1644 0.3333 0.5000 Ag
0.8245 0.1642 0.0000 Ag
0.8419 0.6708 0.5000 Ag
0.3293 0.1604 0.5000 Pt
0.4938 0.9959 0.5000 Pt
0.1781 0.8447 0.0000 Pt
```

## Properties
space-group type = Amm2 (38)

no.,energy of formation (meV/atom),calculated volume (Å³/f.u.),total DFT energy (no corrections) (eV/cell)
1,15,69,-14.5
2,-2,82,-23.8
3,14,69,-43.6